First-principles (PBE) data for a geometry-optimized BaGe2C structure, as listed in the Alexandria database.

Energy of formation in eV/atom: 0.498
ρ in kg/m3: 5570
Final energy in eV per atom: -4.597
DOS at the Fermi energy in states/eV per cell: 3.185

Cell lengths 7.232, 7.232, 6.717 Å; angles 90.00, 90.00, 90.00 degrees
Space group I-42d (No. 122)
Symmetry-distinct sites (fractional):
Ba: 0.000 0.000 0.000
Ge: 0.128 0.750 0.625
C: 0.000 0.000 0.500